UZnSbO6: relaxed, GGA-PBE.

Structure (CIF):
```
data_UZnSbO6
_chemical_formula_sum 'U2 Zn2 Sb2 O12'
_space_group_name_H-M_alt 'P -3 1 c'
_space_group_IT_number 163
_space_group_name_Hall '-P 3 2c'
_cell_length_a 5.2533
_cell_length_b 5.2533
_cell_length_c 9.5707
_cell_angle_alpha 90.00
_cell_angle_beta 90.00
_cell_angle_gamma 120.00
loop_
_atom_site_label
_atom_site_fract_x
_atom_site_fract_y
_atom_site_fract_z
_atom_site_occupancy
U1 0.0000 0.0000 0.0000 1
Zn1 0.3333 0.6667 0.2500 1
Sb1 0.3333 0.6667 0.7500 1
O1 0.0177 0.3477 0.6321 1
```

Values from the calculation:
* energy relative to the elements, uncorrected: -2094.0 meV per atom
* volume: 228.7 Å³ per cell
* E_tot: -7.253 eV per atom